## PrCu2Si2 (GGA-PBE)

Data for an optimized crystal structure of PrCu2Si2.

Lattice parameters (Å, degrees): 5.802 5.803 5.769 90.00 120.05 90.00
Space group C2/m (No. 12)
Inequivalent atoms, fractional coordinates:
Pr 0.000 0.000 0.000 x2
Cu 0.000 0.250 0.500 x4
Si 0.121 0.500 0.243 x4

Output
Calculated density (g/cm³): 6.40
Final energy (Ry/atom): -0.393
Size of the total moment (μB/atom): 0.000
V (Å³ per cell): 168.1

=====

## Pr2Cu2Si3 (GGA-PBE)

Data for an optimized crystal structure of Pr2Cu2Si3.

Lattice parameters (Å, degrees): 4.359 18.105 6.732 90.00 90.00 90.00
Space group Cmcm (No. 63)
Inequivalent atoms, fractional coordinates:
Pr 0.000 0.052 0.250 x4
Pr 0.000 0.160 0.750 x4
Cu 0.000 0.315 0.565 x8
Si 0.000 0.222 0.250 x4
Si 0.000 0.440 0.072 x8

Output
Calculated density (g/cm³): 6.17
Final energy (Ry/atom): -0.401
Size of the total moment (μB/atom): 0.000
V (Å³ per cell): 531.3

=====

## Pr2CuSi (GGA-PBE)

Data for an optimized crystal structure of Pr2CuSi.

Lattice parameters (Å, degrees): 5.139 5.139 3.672 90.00 90.00 90.00
Space group P4/mmm (No. 123)
Inequivalent atoms, fractional coordinates:
Pr 0.000 0.500 0.000 x2
Cu 0.000 0.000 0.500 x1
Si 0.500 0.500 0.500 x1

Output
Calculated density (g/cm³): 6.39
Final energy (Ry/atom): -0.374
Size of the total moment (μB/atom): 0.000
V (Å³ per cell): 97.0

=====

## PrCu4Si3 (GGA-PBE)

Data for an optimized crystal structure of PrCu4Si3.

Lattice parameters (Å, degrees): 4.093 4.093 7.553 90.00 90.00 90.00
Space group P4/mmm (No. 123)
Inequivalent atoms, fractional coordinates:
Pr 0.000 0.000 0.000 x1
Cu 0.000 0.500 0.327 x4
Si 0.000 0.000 0.500 x1
Si 0.500 0.500 0.158 x2

Output
Calculated density (g/cm³): 6.29
Final energy (Ry/atom): -0.370
Size of the total moment (μB/atom): 0.000
V (Å³ per cell): 126.5

=====

## Pr2CuSi (GGA-PBE)

Data for an optimized crystal structure of Pr2CuSi.

Lattice parameters (Å, degrees): 4.2719 4.2719 26.9954 90.00 90.00 120.00
Space group R-3m (No. 166, hexagonal axes)
Inequivalent atoms, fractional coordinates:
Pr 0.0000 0.0000 0.1079 x6
Cu 0.0000 0.0000 0.0000 x3
Si 0.0000 0.0000 0.5000 x3

Output
Calculated density (g/cm³): 4.36
Final energy (Ry/atom): -0.336
Size of the total moment (μB/atom): 0.000
V (Å³ per cell): 426.6

=====

## PrCu6Si2 (GGA-PBE)

Data for an optimized crystal structure of PrCu6Si2.

Lattice parameters (Å, degrees): 4.130 4.130 7.764 90.00 90.00 90.00
Space group P4/mmm (No. 123)
Inequivalent atoms, fractional coordinates:
Pr 0.000 0.000 0.000 x1
Cu 0.000 0.000 0.500 x1
Cu 0.000 0.500 0.313 x4
Cu 0.500 0.500 0.500 x1
Si 0.500 0.500 0.157 x2

Output
Calculated density (g/cm³): 7.25
Final energy (Ry/atom): -0.349
Size of the total moment (μB/atom): 0.000
V (Å³ per cell): 132.4

=====

## Pr3CuSi2 (GGA-PBE)

Data for an optimized crystal structure of Pr3CuSi2.

Lattice parameters (Å, degrees): 11.848 4.288 11.865 90.00 90.00 90.00
Space group Pnma (No. 62)
Inequivalent atoms, fractional coordinates:
Pr 0.060 0.250 0.122 x4
Pr 0.122 0.750 0.563 x4
Pr 0.203 0.250 0.803 x4
Cu 0.131 0.250 0.367 x4
Si 0.031 0.750 0.318 x4
Si 0.194 0.750 0.989 x4

Output
Calculated density (g/cm³): 5.98
Final energy (Ry/atom): -0.399
Size of the total moment (μB/atom): 0.163
V (Å³ per cell): 602.8

=====

## Pr4Cu3Si (GGA-PBE)

Data for an optimized crystal structure of Pr4Cu3Si.

Lattice parameters (Å, degrees): 4.214 4.284 10.842 90.00 90.00 90.00
Space group Pmm2 (No. 25)
Inequivalent atoms, fractional coordinates:
Pr 0.000 0.000 0.000 x1
Pr 0.000 0.500 0.289 x1
Pr 0.500 0.000 0.502 x1
Pr 0.500 0.500 0.792 x1
Cu 0.000 0.500 0.587 x1
Cu 0.500 0.000 0.209 x1
Cu 0.500 0.500 0.082 x1
Si 0.000 0.000 0.713 x1

Output
Calculated density (g/cm³): 6.64
Final energy (Ry/atom): -0.359
Size of the total moment (μB/atom): 0.000
V (Å³ per cell): 195.8

=====

Q: Which value of calculated density does entry 1 give?
A: 6.40 g/cm³

=====

Q: Among the records above, which one has the lowest V?
A: number 3

=====

What did the fourth record say?
## PrCu4Si3 (GGA-PBE)

Data for an optimized crystal structure of PrCu4Si3.

Lattice parameters (Å, degrees): 4.093 4.093 7.553 90.00 90.00 90.00
Space group P4/mmm (No. 123)
Inequivalent atoms, fractional coordinates:
Pr 0.000 0.000 0.000 x1
Cu 0.000 0.500 0.327 x4
Si 0.000 0.000 0.500 x1
Si 0.500 0.500 0.158 x2

Output
Calculated density (g/cm³): 6.29
Final energy (Ry/atom): -0.370
Size of the total moment (μB/atom): 0.000
V (Å³ per cell): 126.5